NdEr2Al2 (GGA-PBE, relaxed); space-group type = No. 11; calculated formation energy = -161 meV/atom; calculated total energy = -4.4368 eV/atom; energy relative to the lowest polymorph listed for this composition = 0.129 eV per atom
1.0
3.753 0.000 0.000
0.000 5.587 -0.026
0.000 -1.437 13.103
Nd Al Er
2 4 4
Cartesian
2.815 0.688 10.033
0.938 3.462 3.044
2.815 0.661 4.481
2.815 3.550 0.467
0.938 0.600 12.610
0.938 3.488 8.596
0.938 0.681 7.013
0.938 3.466 11.644
2.815 0.684 1.434
2.815 3.469 6.064



Li8B3O8 (GGA-PBE, relaxed); space-group type = No. 12; energy relative to the elements, uncorrected = -2.086 eV/atom; calculated total energy = -6.0335 eV/atom
1.0
3.225 0.000 -0.915
-0.573 6.821 -2.019
0.908 -0.015 9.344
O Li B
8 8 3
Cartesian
2.365 5.596 2.195
2.886 4.145 4.031
0.586 0.264 2.067
2.974 6.543 4.343
1.485 2.250 -0.908
2.076 4.556 7.318
0.675 2.661 2.379
1.196 1.210 4.215
0.520 6.045 1.832
1.504 6.204 -0.841
2.057 0.602 7.251
0.184 1.983 0.648
1.248 3.169 4.398
3.377 4.824 5.762
3.041 0.761 4.578
2.313 3.637 2.012
1.326 3.410 -1.467
0.818 1.382 2.885
2.742 5.424 3.525



La2NiTe (GGA-PBE, relaxed); space-group type = No. 216; energy relative to the elements, uncorrected = -0.129 eV/atom; calculated total energy = -4.8239 eV/atom
1.0
-2.082 4.694 1.005
-5.123 0.795 -0.707
-3.144 0.637 4.134
Te Ni La
1 1 2
Cartesian
-7.761 4.595 3.325
-5.174 3.063 2.216
-2.587 1.532 1.108
0.000 0.000 0.000



- What is the formula in the first record?
  NdEr2Al2